Density functional theory data (GGA-PBE) for a relaxed structure of Er4CdS7.

## Properties
Total moment, μB per atom: 0.000
Volume, Å³ per atom: 22.25
DFT total energy, eV for the cell shown: -69.53

a b c (Å): 6.5896 6.5896 11.5539
angles (deg): 104.74 104.74 33.51
Sites, in units of the cell vectors:
Er 0.0000 0.0000 0.0000
Er 0.3864 0.3864 0.6012
Er 0.5916 0.5916 0.3840
Er 0.6943 0.6943 0.8127
Cd 0.8185 0.8185 0.2286
S 0.0352 0.0352 0.7563
S 0.2248 0.2248 0.3423
S 0.3544 0.3544 0.8586
S 0.4494 0.4494 0.1610
S 0.6585 0.6585 0.0286
S 0.7378 0.7378 0.5998
S 0.9668 0.9668 0.4569

***

Density functional theory data (GGA-PBE) for a relaxed structure of ErCdSb.

## Properties
Total moment, μB per atom: 0.000
DOS(E_F), states/eV per cell: 2.73
Volume, Å³ per atom: 26.56
DFT total energy, eV for the cell shown: -21.77

a b c (Å): 3.5239 5.8103 8.1774
angles (deg): 87.10 89.98 72.39
Sites, in units of the cell vectors:
Er 0.0750 0.3492 0.2920
Er 0.9250 0.6508 0.7080
Cd 0.3614 0.7767 0.0298
Cd 0.6386 0.2233 0.9702
Sb 0.3539 0.7941 0.3885
Sb 0.6461 0.2059 0.6115

***

Density functional theory data (GGA-PBE) for a relaxed structure of Er8Cd2Sb.

## Properties
Total moment, μB per atom: 0.000
DOS(E_F), states/eV per cell: 13.70
Volume, Å³ per atom: 28.94
DFT total energy, eV for the cell shown: -43.89

a b c (Å): 8.3653 8.3653 5.5308
angles (deg): 100.94 100.94 117.82
Sites, in units of the cell vectors:
Er 0.0922 0.3206 0.6163
Er 0.2231 0.7769 0.0000
Er 0.3206 0.0922 0.6163
Er 0.3981 0.3981 0.1996
Er 0.6019 0.6019 0.8004
Er 0.6794 0.9078 0.3837
Er 0.7769 0.2231 0.0000
Er 0.9078 0.6794 0.3837
Cd 0.3056 0.6944 0.5000
Cd 0.6944 0.3056 0.5000
Sb 0.0000 0.0000 0.0000

***

Density functional theory data (GGA-PBE) for a relaxed structure of Er2ScCd.

## Properties
Total moment, μB per atom: 0.100
DOS(E_F), states/eV per cell: 5.25
Volume, Å³ per atom: 26.13
DFT total energy, eV for the cell shown: -16.72
Excess energy over the best structure of this formula in the dataset, meV/atom: 46.4

a b c (Å): 4.7367 4.7367 4.6588
angles (deg): 90.00 90.00 90.00
Sites, in units of the cell vectors:
Er 0.0000 0.5000 0.0000
Er 0.5000 0.0000 0.0000
Sc 0.0000 0.0000 0.5000
Cd 0.5000 0.5000 0.5000

***

Density functional theory data (GGA-PBE) for a relaxed structure of Er6ScCd5.

## Properties
Total moment, μB per atom: 0.062
DOS(E_F), states/eV per cell: 13.57
Volume, Å³ per atom: 25.97
DFT total energy, eV for the cell shown: -41.02

a b c (Å): 9.1357 9.1357 9.1357
angles (deg): 146.95 130.86 60.51
Sites, in units of the cell vectors:
Er 0.0797 0.3312 0.7485
Er 0.2408 0.0000 0.2408
Er 0.4173 0.6688 0.7485
Er 0.5827 0.3312 0.2515
Er 0.7592 0.0000 0.7592
Er 0.9203 0.6688 0.2515
Sc 0.5000 0.5000 0.0000
Cd 0.0000 0.5000 0.5000
Cd 0.1664 0.1664 0.0000
Cd 0.3454 0.8454 0.5000
Cd 0.6546 0.1546 0.5000
Cd 0.8336 0.8336 0.0000

***

Density functional theory data (GGA-PBE) for a relaxed structure of ErSc8Cd2.

## Properties
Total moment, μB per atom: 0.000
DOS(E_F), states/eV per cell: 18.45
Volume, Å³ per atom: 25.11
DFT total energy, eV for the cell shown: -56.26

a b c (Å): 8.2206 8.2206 5.2372
angles (deg): 102.54 102.54 119.98
Sites, in units of the cell vectors:
Er 0.0000 0.0000 0.0000
Sc 0.0965 0.3210 0.6285
Sc 0.2180 0.7820 0.0000
Sc 0.3210 0.0965 0.6285
Sc 0.4143 0.4143 0.2051
Sc 0.5857 0.5857 0.7949
Sc 0.6790 0.9035 0.3715
Sc 0.7820 0.2180 0.0000
Sc 0.9035 0.6790 0.3715
Cd 0.3066 0.6934 0.5000
Cd 0.6934 0.3066 0.5000

***

Density functional theory data (GGA-PBE) for a relaxed structure of Er3Sc3Cd.

## Properties
Total moment, μB per atom: 0.000
DOS(E_F), states/eV per cell: 24.42
Volume, Å³ per atom: 26.37
DFT total energy, eV for the cell shown: -67.70

a b c (Å): 9.0082 9.0082 5.2520
angles (deg): 90.00 90.00 120.00
Sites, in units of the cell vectors:
Er 0.1029 0.6336 0.2500
Er 0.3664 0.4693 0.2500
Er 0.4693 0.1029 0.7500
Er 0.5307 0.8971 0.2500
Er 0.6336 0.5307 0.7500
Er 0.8971 0.3664 0.7500
Sc 0.0571 0.8265 0.7500
Sc 0.1735 0.2306 0.7500
Sc 0.2306 0.0571 0.2500
Sc 0.7694 0.9429 0.7500
Sc 0.8265 0.7694 0.2500
Sc 0.9429 0.1735 0.2500
Cd 0.3333 0.6667 0.7500
Cd 0.6667 0.3333 0.2500

***

Density functional theory data (GGA-PBE) for a relaxed structure of Er3ScCd6.

## Properties
Total moment, μB per atom: 0.000
DOS(E_F), states/eV per cell: 14.10
Volume, Å³ per atom: 23.91
DFT total energy, eV for the cell shown: -56.42

a b c (Å): 9.0074 5.0748 10.8542
angles (deg): 90.00 105.44 90.00
Sites, in units of the cell vectors:
Er 0.0335 0.2500 0.3952
Er 0.1511 0.7500 0.2128
Er 0.2599 0.2500 0.0034
Er 0.7401 0.7500 0.9966
Er 0.8489 0.2500 0.7872
Er 0.9665 0.7500 0.6048
Sc 0.4479 0.2500 0.6011
Sc 0.5521 0.7500 0.3989
Cd 0.0492 0.7500 0.9069
Cd 0.1668 0.2500 0.7037
Cd 0.2701 0.7500 0.5112
Cd 0.3547 0.7500 0.8121
Cd 0.3616 0.2500 0.3119
Cd 0.4513 0.7500 0.1120
Cd 0.5487 0.2500 0.8880
Cd 0.6384 0.7500 0.6881
Cd 0.6453 0.2500 0.1879
Cd 0.7299 0.2500 0.4888
Cd 0.8332 0.7500 0.2963
Cd 0.9508 0.2500 0.0931

***

Density functional theory data (GGA-PBE) for a relaxed structure of Er3Sc2Cd2.

## Properties
Total moment, μB per atom: 0.000
DOS(E_F), states/eV per cell: 7.39
Volume, Å³ per atom: 25.92
DFT total energy, eV for the cell shown: -28.82

a b c (Å): 11.2222 11.2222 3.3841
angles (deg): 90.00 90.00 154.81
Sites, in units of the cell vectors:
Er 0.0000 0.0000 0.0000
Er 0.1519 0.8481 0.0000
Er 0.8481 0.1519 0.0000
Sc 0.2863 0.7137 0.5000
Sc 0.7137 0.2863 0.5000
Cd 0.4281 0.5719 0.5000
Cd 0.5719 0.4281 0.5000

***

Density functional theory data (GGA-PBE) for a relaxed structure of Er5Sc4Cd2.

## Properties
Total moment, μB per atom: 0.000
DOS(E_F), states/eV per cell: 32.55
Volume, Å³ per atom: 26.83
DFT total energy, eV for the cell shown: -101.14
Excess energy over the best structure of this formula in the dataset, meV/atom: 0.0

a b c (Å): 8.5152 19.9615 3.4730
angles (deg): 90.00 90.00 90.00
Sites, in units of the cell vectors:
Er 0.0000 0.0000 0.0000
Er 0.1260 0.4345 0.0000
Er 0.2378 0.2162 0.0000
Er 0.2622 0.7162 0.0000
Er 0.3740 0.9345 0.0000
Er 0.5000 0.5000 0.0000
Er 0.6260 0.0655 0.0000
Er 0.7378 0.2838 0.0000
Er 0.7622 0.7838 0.0000
Er 0.8740 0.5655 0.0000
Sc 0.0725 0.8535 0.5000
Sc 0.2178 0.5740 0.5000
Sc 0.2822 0.0740 0.5000
Sc 0.4275 0.3535 0.5000
Sc 0.5725 0.6465 0.5000
Sc 0.7178 0.9260 0.5000
Sc 0.7822 0.4260 0.5000
Sc 0.9275 0.1465 0.5000
Cd 0.0355 0.3096 0.5000
Cd 0.4645 0.8096 0.5000
Cd 0.5355 0.1904 0.5000
Cd 0.9645 0.6904 0.5000

***

Density functional theory data (GGA-PBE) for a relaxed structure of ErScCd3.

## Properties
Total moment, μB per atom: 0.000
DOS(E_F), states/eV per cell: 7.11
Volume, Å³ per atom: 23.55
DFT total energy, eV for the cell shown: -29.39
Excess energy over the best structure of this formula in the dataset, meV/atom: 0.0

a b c (Å): 7.8946 7.8946 6.3453
angles (deg): 97.22 97.22 36.92
Sites, in units of the cell vectors:
Er 0.1103 0.1103 0.4343
Er 0.8897 0.8897 0.5657
Sc 0.3018 0.3018 0.8703
Sc 0.6982 0.6982 0.1297
Cd 0.0959 0.0959 0.9226
Cd 0.3043 0.3043 0.3431
Cd 0.4979 0.4979 0.7478
Cd 0.5021 0.5021 0.2522
Cd 0.6957 0.6957 0.6569
Cd 0.9041 0.9041 0.0774

***

Density functional theory data (GGA-PBE) for a relaxed structure of Er2ScCd8.

## Properties
Total moment, μB per atom: 0.000
DOS(E_F), states/eV per cell: 5.93
Volume, Å³ per atom: 23.57
DFT total energy, eV for the cell shown: -24.50

a b c (Å): 8.4364 8.4364 8.4364
angles (deg): 145.56 129.49 62.57
Sites, in units of the cell vectors:
Er 0.2013 0.2013 0.0000
Er 0.7987 0.7987 0.0000
Sc 0.5000 0.5000 0.0000
Cd 0.0720 0.3638 0.7082
Cd 0.2103 0.0000 0.2103
Cd 0.3444 0.6362 0.7082
Cd 0.3452 0.8452 0.5000
Cd 0.6548 0.1548 0.5000
Cd 0.6556 0.3638 0.2918
Cd 0.7897 0.0000 0.7897
Cd 0.9280 0.6362 0.2918